[1]
This record from Alexandria describes crystalline PaReP2 at its relaxed geometry. The functional is PBE.

Structure (POSCAR):
```
PaReP2
1.0
5.5130 0.0000 0.0000
0.0000 5.5158 0.0000
-2.7523 0.0000 4.9193
Pa Re P
2 2 4
direct
0.0000 0.0000 0.0000 Pa
0.5000 0.5000 0.0000 Pa
0.0000 0.7510 0.5000 Re
0.5000 0.2510 0.5000 Re
0.1210 0.4997 0.2436 P
0.3790 0.9997 0.7564 P
0.6210 0.9997 0.2436 P
0.8790 0.4997 0.7564 P
```

Symmetry: C2

=====

[2]
This record from Alexandria describes crystalline PaReP at its relaxed geometry. The functional is PBE.

Structure (POSCAR):
```
PaReP
1.0
3.8388 0.0000 0.0000
0.0000 3.8388 0.0000
0.0000 0.0000 8.4351
Pa Re P
2 2 2
direct
0.0000 0.0000 0.0000 Pa
0.5000 0.5000 0.5000 Pa
0.0000 0.0000 0.4100 Re
0.5000 0.5000 0.9100 Re
0.0000 0.0000 0.6809 P
0.5000 0.5000 0.1809 P
```

Symmetry: I4mm

=====

[3]
This record from Alexandria describes crystalline PaReP3 at its relaxed geometry. The functional is PBE.

Structure (POSCAR):
```
PaReP3
1.0
6.3232 0.0000 0.0000
0.0000 5.9086 0.0000
-1.7114 0.0000 9.3983
Pa Re P
4 4 12
direct
0.1490 0.2212 0.1472 Pa
0.1490 0.2788 0.6472 Pa
0.8510 0.7212 0.3528 Pa
0.8510 0.7788 0.8528 Pa
0.4224 0.7137 0.5686 Re
0.4224 0.7863 0.0686 Re
0.5776 0.2137 0.9314 Re
0.5776 0.2863 0.4314 Re
0.0756 0.7204 0.1313 P
0.0756 0.7796 0.6313 P
0.2414 0.0351 0.8940 P
0.2414 0.4649 0.3940 P
0.4427 0.5793 0.8396 P
0.4427 0.9207 0.3396 P
0.5573 0.0793 0.6604 P
0.5573 0.4207 0.1604 P
0.7586 0.5351 0.6060 P
0.7586 0.9649 0.1060 P
0.9244 0.2204 0.3687 P
0.9244 0.2796 0.8687 P
```

Symmetry: P2_1/c

=====

[4]
This record from Alexandria describes crystalline PaReP2 at its relaxed geometry. The functional is PBE.

Structure (POSCAR):
```
PaReP2
1.0
3.0624 0.0000 0.0000
0.0000 3.0624 0.0000
0.0000 0.0000 6.8735
Pa Re P
1 1 2
direct
0.0000 0.0000 0.0000 Pa
0.0000 0.0000 0.5000 Re
0.5000 0.5000 0.2944 P
0.5000 0.5000 0.7056 P
```

Symmetry: P4/mmm

=====

[5]
This record from Alexandria describes crystalline PaReP at its relaxed geometry. The functional is PBE.

Structure (POSCAR):
```
PaReP
1.0
10.3100 0.0000 0.0000
0.0000 3.4348 0.0000
0.0000 0.0000 6.6119
Pa Re P
4 4 4
direct
0.0709 0.2500 0.2435 Pa
0.4291 0.7500 0.7435 Pa
0.5709 0.2500 0.2565 Pa
0.9291 0.7500 0.7565 Pa
0.1571 0.2500 0.7899 Re
0.3429 0.7500 0.2899 Re
0.6571 0.2500 0.7101 Re
0.8429 0.7500 0.2101 Re
0.1781 0.7500 0.5454 P
0.3219 0.2500 0.0454 P
0.6781 0.7500 0.9546 P
0.8219 0.2500 0.4546 P
```

Symmetry: Pnma

=====

[6]
This record from Alexandria describes crystalline Pa2ReP at its relaxed geometry. The functional is PBE.

Structure (POSCAR):
```
Pa2ReP
1.0
3.9498 0.0000 0.0000
-1.9749 3.4206 0.0000
0.0000 0.0000 20.2564
Pa Re P
6 3 3
direct
0.0000 0.0000 0.2456 Pa
0.0000 0.0000 0.7544 Pa
0.3333 0.6667 0.4210 Pa
0.3333 0.6667 0.9123 Pa
0.6667 0.3333 0.0877 Pa
0.6667 0.3333 0.5790 Pa
0.0000 0.0000 0.5000 Re
0.3333 0.6667 0.1667 Re
0.6667 0.3333 0.8333 Re
0.0000 0.0000 0.0000 P
0.3333 0.6667 0.6667 P
0.6667 0.3333 0.3333 P
```

Symmetry: R-3m

=====

[7]
This record from Alexandria describes crystalline PaRe2P2 at its relaxed geometry. The functional is PBE.

Structure (POSCAR):
```
PaRe2P2
1.0
1.9744 -11.0419 0.0000
1.9744 11.0419 0.0000
0.0000 0.0000 3.9774
Pa Re P
2 4 4
direct
0.1553 0.8447 0.7500 Pa
0.8447 0.1553 0.2500 Pa
0.0390 0.9610 0.2500 Re
0.4565 0.5435 0.2500 Re
0.5435 0.4565 0.7500 Re
0.9610 0.0390 0.7500 Re
0.2499 0.7501 0.2500 P
0.3906 0.6094 0.7500 P
0.6094 0.3906 0.2500 P
0.7501 0.2499 0.7500 P
```

Symmetry: Cmcm

=====

[8]
This record from Alexandria describes crystalline Pa2ReP at its relaxed geometry. The functional is PBE.

Structure (POSCAR):
```
Pa2ReP
1.0
3.3597 0.0000 0.0000
0.0000 3.3597 0.0000
0.0000 0.0000 7.1225
Pa Re P
2 1 1
direct
0.0000 0.0000 0.2464 Pa
0.0000 0.0000 0.7536 Pa
0.5000 0.5000 0.5000 Re
0.5000 0.5000 0.0000 P
```

Symmetry: P4/mmm

=====

| no. | density of states at the Fermi level (states/eV per cell) | formation enthalpy at 0 K (eV per atom) |
| --- | --- | --- |
| 1 | 5.5 | -0.54 |
| 2 | 6.6 | 0.00 |
| 3 | 11.8 | -0.58 |
| 4 | 5.0 | -0.28 |
| 5 | 11.7 | -0.48 |
| 6 | 11.7 | -0.48 |
| 7 | 4.8 | -0.68 |
| 8 | 5.2 | -0.45 |